# V3Zn2O8 | Alexandria | PBE+U | relaxed
# Space-group type: C2/m, No. 12
# Size of the total moment in μB per formula unit: 3.000
# Energy in eV/atom: -6.7744
# Crystal system: monoclinic
# Energy above the lowest structure with this stoichiometry in meV/atom: 0
data_V3Zn2O8
_space_group_name_H-M_alt 'P 1'
_space_group_IT_number 1
_space_group_name_Hall 'P 1'
_cell_length_a 5.9622
_cell_length_b 5.9622
_cell_length_c 5.0549
_cell_angle_alpha 106.49
_cell_angle_beta 106.49
_cell_angle_gamma 60.99
loop_
_atom_site_label
_atom_site_type_symbol
_atom_site_fract_x
_atom_site_fract_y
_atom_site_fract_z
_atom_site_occupancy
V1 V 0.0000 0.0000 0.0000 1
V2 V 0.2627 0.7373 0.5000 1
V3 V 0.7373 0.2627 0.5000 1
Zn1 Zn 0.3150 0.3150 0.8651 1
Zn2 Zn 0.6850 0.6850 0.1349 1
O1 O 0.1118 0.1118 0.7443 1
O2 O 0.1296 0.6658 0.7503 1
O3 O 0.3342 0.8704 0.2497 1
O4 O 0.3917 0.3917 0.2835 1
O5 O 0.6083 0.6083 0.7165 1
O6 O 0.6658 0.1296 0.7503 1
O7 O 0.8704 0.3342 0.2497 1
O8 O 0.8882 0.8882 0.2557 1